No. 1
A plane-wave DFT calculation with PBE was carried out for an optimized crystal structure of KLi2Br.

The calculation puts the calculated density at 1.7 g/cm3. The calculation puts the formation energy (no corrections) at -0.234 eV/atom. The calculation puts the total energy at -1.884 eV per atom. As for the excess energy over the best structure of this formula in the dataset: 435.9 meV/atom.

The structure belongs to space group Fm-3m (No. 225); the cell edges are 8.008, 8.008 and 8.008 Å and the angles 90.00°, 90.00° and 90.00°. The distinct sites, in fractional coordinates, are K at (0.000, 0.000, 0.000), Li at (0.250, 0.250, 0.250) and Br at (0.000, 0.000, 0.500).

No. 2
A plane-wave DFT calculation with PBE was carried out for an optimized crystal structure of KLi2Br.

The calculation puts the calculated density at 1.6 g/cm3. The calculation puts the formation energy (no corrections) at -0.536 eV/atom. The calculation puts the total energy at -2.186 eV per atom. As for the excess energy over the best structure of this formula in the dataset: 133.7 meV/atom.

The structure belongs to space group Pmmm (No. 47); the cell edges are 4.480, 4.533 and 6.586 Å and the angles 90.00°, 90.00° and 90.00°. The distinct sites, in fractional coordinates, are K at (0.000, 0.000, 0.000), Li at (0.000, 0.500, 0.500), Li at (0.500, 0.000, 0.500) and Br at (0.500, 0.500, 0.000).

No. 3
A plane-wave DFT calculation with PBE was carried out for an optimized crystal structure of KLiBr2.

The calculation puts the calculated density at 2.9 g/cm3. The calculation puts the formation energy (no corrections) at -1.504 eV/atom. The calculation puts the total energy at -3.094 eV per atom.

The structure belongs to space group Imm2 (No. 44); the cell edges are 3.856, 4.086 and 14.866 Å and the angles 90.00°, 90.00° and 90.00°. The distinct sites, in fractional coordinates, are K at (0.000, 0.000, 0.000), Li at (0.000, 0.500, 0.755), Br at (0.000, 0.000, 0.387) and Br at (0.000, 0.500, 0.173).

No. 4
A plane-wave DFT calculation with PBE was carried out for an optimized crystal structure of KLi4Br.

The calculation puts the calculated density at 1.5 g/cm3. The calculation puts the formation energy (no corrections) at -0.189 eV/atom. The calculation puts the total energy at -1.927 eV per atom.

The structure belongs to space group F-43m (No. 216); the cell edges are 8.754, 8.754 and 8.754 Å and the angles 90.00°, 90.00° and 90.00°. The distinct sites, in fractional coordinates, are K at (0.000, 0.000, 0.000), Li at (0.123, 0.123, 0.623) and Br at (0.250, 0.250, 0.250).

No. 5
A plane-wave DFT calculation with PBE was carried out for an optimized crystal structure of KLiBr2.

The calculation puts the calculated density at 2.3 g/cm3. The calculation puts the formation energy (no corrections) at -1.472 eV/atom. The calculation puts the total energy at -3.061 eV per atom.

The structure belongs to space group Cmmm (No. 65); the cell edges are 4.103, 8.617 and 8.309 Å and the angles 90.00°, 90.00° and 90.00°. The distinct sites, in fractional coordinates, are K at (0.000, 0.000, 0.000), Li at (0.000, 0.000, 0.500) and Br at (0.000, 0.500, 0.286).

No. 6
A plane-wave DFT calculation with PBE was carried out for an optimized crystal structure of KLiBr.

The calculation puts the calculated density at 1.8 g/cm3. The calculation puts the formation energy (no corrections) at -0.721 eV/atom. The calculation puts the total energy at -2.282 eV per atom. As for the excess energy over the best structure of this formula in the dataset: 253.4 meV/atom.

The structure belongs to space group F-43m (No. 216); the cell edges are 7.725, 7.725 and 7.725 Å and the angles 90.00°, 90.00° and 90.00°. The distinct sites, in fractional coordinates, are K at (0.000, 0.000, 0.000), Li at (0.000, 0.000, 0.500) and Br at (0.250, 0.250, 0.250).

No. 7
A plane-wave DFT calculation with PBE was carried out for an optimized crystal structure of KLiBr2.

The calculation puts the calculated density at 3.0 g/cm3. The calculation puts the formation energy (no corrections) at -1.569 eV/atom. The calculation puts the total energy at -3.158 eV per atom.

The structure belongs to space group R3m (No. 160, hexagonal axes); the cell edges are 4.1969, 4.1969 and 22.3037 Å and the angles 90.00°, 90.00° and 120.00°. The distinct sites, in fractional coordinates, are K at (0.0000, 0.0000, 0.0000), Li at (0.0000, 0.0000, 0.1694), Br at (0.0000, 0.0000, 0.5688) and Br at (0.0000, 0.0000, 0.7658).

No. 8
A plane-wave DFT calculation with PBE was carried out for an optimized crystal structure of K2LiBr.

The calculation puts the calculated density at 1.3 g/cm3. The calculation puts the formation energy (no corrections) at -0.554 eV/atom. The calculation puts the total energy at -2.000 eV per atom. As for the excess energy over the best structure of this formula in the dataset: 157.0 meV/atom.

The structure belongs to space group Immm (No. 71); the cell edges are 4.842, 8.213 and 10.322 Å and the angles 90.00°, 90.00° and 90.00°. The distinct sites, in fractional coordinates, are K at (0.000, 0.000, 0.204), Li at (0.000, 0.500, 0.000) and Br at (0.000, 0.500, 0.500).

No. 9
A plane-wave DFT calculation with PBE was carried out for an optimized crystal structure of K4LiBr5.

The calculation puts the calculated density at 2.8 g/cm3. The calculation puts the formation energy (no corrections) at -1.670 eV/atom. The calculation puts the total energy at -3.137 eV per atom.

The structure belongs to space group R-3m (No. 166, hexagonal axes); the cell edges are 4.5492, 4.5492 and 56.6942 Å and the angles 90.00°, 90.00° and 120.00°. The distinct sites, in fractional coordinates, are K at (0.0000, 0.0000, 0.1056), K at (0.0000, 0.0000, 0.2981), Li at (0.0000, 0.0000, 0.5000), Br at (0.0000, 0.0000, 0.0000), Br at (0.0000, 0.0000, 0.1917) and Br at (0.0000, 0.0000, 0.4042).

No. 10
A plane-wave DFT calculation with PBE was carried out for an optimized crystal structure of KLiBr2.

The calculation puts the calculated density at 2.7 g/cm3. The calculation puts the formation energy (no corrections) at -1.561 eV/atom. The calculation puts the total energy at -3.150 eV per atom.

The structure belongs to space group Pm (No. 6); the cell edges are 4.469, 5.321 and 5.294 Å and the angles 90.00°, 90.19° and 90.00°. The distinct sites, in fractional coordinates, are K at (0.000, 0.000, 0.000), Li at (0.501, 0.500, 0.499), Br at (0.440, 0.000, 0.501) and Br at (0.565, 0.500, 0.001).

No. 11
A plane-wave DFT calculation with PBE was carried out for an optimized crystal structure of KLiBr2.

The calculation puts the calculated density at 2.8 g/cm3. The calculation puts the formation energy (no corrections) at -1.629 eV/atom. The calculation puts the total energy at -3.218 eV per atom.

The structure belongs to space group C2/m (No. 12); the cell edges are 16.520, 4.265 and 7.570 Å and the angles 90.00°, 113.36° and 90.00°. The distinct sites, in fractional coordinates, are K at (0.132, 0.000, 0.100), Li at (0.106, 0.500, 0.604), Br at (0.008, 0.500, 0.249) and Br at (0.200, 0.000, 0.716).

No. 12
A plane-wave DFT calculation with PBE was carried out for an optimized crystal structure of K2LiBr.

The calculation puts the calculated density at 1.8 g/cm3. The calculation puts the formation energy (no corrections) at -0.711 eV/atom. The calculation puts the total energy at -2.157 eV per atom. As for the excess energy over the best structure of this formula in the dataset: 0.0 meV/atom.

The structure belongs to space group P2/m (No. 10); the cell edges are 4.086, 4.138 and 9.148 Å and the angles 90.00°, 90.02° and 90.00°. The distinct sites, in fractional coordinates, are K at (0.002, 0.000, 0.213), Li at (0.500, 0.500, 0.500) and Br at (0.500, 0.500, 0.000).